Compound: PmTaCrO6
Source: Alexandria
Functional: PBE+U
Structure: relaxed

## Properties
Total magnetization = 2.00 μB per formula unit
Total DFT energy (no corrections) = -8.50 eV/atom

```
18
Lattice="4.874 0.000 0.000 0.000 4.874 0.000 0.000 0.000 9.650" Properties=species:S:1:pos:R:3 pbc="T T T"
Pm 0.000 0.000 0.000
Pm 2.437 2.437 4.825
Ta 0.000 0.000 3.286
Ta 2.437 2.437 8.110
Cr 0.000 0.000 6.486
Cr 2.437 2.437 1.662
O 0.838 0.838 4.914
O 1.047 1.047 7.866
O 1.065 1.065 1.900
O 1.372 3.502 6.725
O 1.390 3.484 3.042
O 1.599 3.275 0.089
O 3.275 1.599 0.089
O 3.484 1.390 3.042
O 3.502 1.372 6.725
O 3.809 3.809 1.900
O 3.827 3.827 7.866
O 4.036 4.036 4.914
```